NdMg2H6: relaxed, PBE-GGA.

Results
- D(E_F): 3.09 states/eV/f.u.
- VASP energy: -2.6996 eV/atom
- Total magnetic moment: 0.00 Bohr magnetons per cell
- Space-group type: Fm-3m

Lattice parameters (Å, degrees): 5.499 5.499 5.499 60.00 60.00 60.00
Atoms (fractional coordinates):
Nd: 0.000 0.000 0.000
H: 0.720 0.280 0.720
Mg: 0.250 0.250 0.250
H: 0.280 0.720 0.280
Mg: 0.750 0.750 0.750
H: 0.720 0.280 0.280
H: 0.720 0.720 0.280
H: 0.280 0.280 0.720
H: 0.280 0.720 0.720